Entry 1:
! CaCdNi2 | the Alexandria database | PBE | optimized geometry; values from VASP
&SYSTEM
  ibrav = 0, nat = 4, ntyp = 3
/
ATOMIC_SPECIES
Ca 40.08 Ca.upf
Cd 112.41 Cd.upf
Ni 58.69 Ni.upf
CELL_PARAMETERS angstrom
-1.9644 1.9644 4.4472
1.9644 -1.9644 4.4472
1.9644 1.9644 -4.4472
ATOMIC_POSITIONS crystal
Ca 0.0000 0.0000 0.0000
Cd 0.2500 0.7500 0.5000
Ni 0.5000 0.5000 0.0000
Ni 0.7500 0.2500 0.5000
! DFT total energy	-14.2	eV per cell
! space group	I-4m2, No. 119
! DOS at the Fermi energy	0.43	states/eV/atom


Entry 2:
! CaCd2Ni | the Alexandria database | PBE | optimized geometry; values from VASP
&SYSTEM
  ibrav = 0, nat = 4, ntyp = 3
/
ATOMIC_SPECIES
Ca 40.08 Ca.upf
Cd 112.41 Cd.upf
Ni 58.69 Ni.upf
CELL_PARAMETERS angstrom
2.8515 -5.2073 0.0000
2.8515 5.2073 0.0000
-1.4150 0.0000 2.8956
ATOMIC_POSITIONS crystal
Ca 0.0000 0.0000 0.0000
Cd 0.0000 0.5000 0.5000
Cd 0.5000 0.0000 0.5000
Ni 0.5000 0.5000 0.0000
! DFT total energy	-9.1	eV per cell
! space group	C2/m, No. 12
! DOS at the Fermi energy	0.59	states/eV/atom


Entry 3:
! Ca3Cd9Ni2 | the Alexandria database | PBE | optimized geometry; values from VASP
&SYSTEM
  ibrav = 0, nat = 14, ntyp = 3
/
ATOMIC_SPECIES
Ca 40.08 Ca.upf
Cd 112.41 Cd.upf
Ni 58.69 Ni.upf
CELL_PARAMETERS angstrom
-2.4113 5.2633 6.3212
2.4113 -5.2633 6.3212
2.4113 5.2633 -6.3212
ATOMIC_POSITIONS crystal
Ca 0.0000 0.0000 0.0000
Ca 0.2989 0.2989 0.0000
Ca 0.7011 0.7011 0.0000
Cd 0.0094 0.3684 0.6410
Cd 0.1510 0.8696 0.2814
Cd 0.2726 0.6316 0.6410
Cd 0.4118 0.1304 0.2814
Cd 0.5000 0.0000 0.5000
Cd 0.5882 0.8696 0.7186
Cd 0.7274 0.3684 0.3590
Cd 0.8490 0.1304 0.7186
Cd 0.9906 0.6316 0.3590
Ni 0.3649 0.5000 0.8649
Ni 0.6351 0.5000 0.1351
! DFT total energy	-28.2	eV per cell
! space group	Immm, No. 71
! DOS at the Fermi energy	0.58	states/eV/atom


Entry 4:
! CaCd2Ni2 | the Alexandria database | PBE | optimized geometry; values from VASP
&SYSTEM
  ibrav = 0, nat = 10, ntyp = 3
/
ATOMIC_SPECIES
Ca 40.08 Ca.upf
Cd 112.41 Cd.upf
Ni 58.69 Ni.upf
CELL_PARAMETERS angstrom
7.3887 0.0000 0.0000
0.0000 7.3887 0.0000
0.0000 0.0000 3.3629
ATOMIC_POSITIONS crystal
Ca 0.0000 0.0000 0.0000
Ca 0.5000 0.5000 0.0000
Cd 0.1645 0.3355 0.5000
Cd 0.3355 0.8355 0.5000
Cd 0.6645 0.1645 0.5000
Cd 0.8355 0.6645 0.5000
Ni 0.1245 0.6245 0.0000
Ni 0.3755 0.1245 0.0000
Ni 0.6245 0.8755 0.0000
Ni 0.8755 0.3755 0.0000
! DFT total energy	-31.2	eV per cell
! E above lowest polymorph	0.040	eV/atom
! space group	P4/mbm, No. 127
! DOS at the Fermi energy	0.64	states/eV/atom


Entry 5:
! Ca2CdNi | the Alexandria database | PBE | optimized geometry; values from VASP
&SYSTEM
  ibrav = 0, nat = 4, ntyp = 3
/
ATOMIC_SPECIES
Ca 40.08 Ca.upf
Cd 112.41 Cd.upf
Ni 58.69 Ni.upf
CELL_PARAMETERS angstrom
4.3121 0.0000 0.0000
0.0000 4.3627 0.0000
-2.1502 0.0000 5.5726
ATOMIC_POSITIONS crystal
Ca 0.0000 0.0000 0.0000
Ca 0.2892 0.5000 0.5781
Cd 0.5836 0.5000 0.1668
Ni 0.7170 0.0000 0.4305
! DFT total energy	-11.3	eV per cell
! space group	Pm, No. 6
! DOS at the Fermi energy	0.52	states/eV/atom


Entry 6:
! Ca2CdNi | the Alexandria database | PBE | optimized geometry; values from VASP
&SYSTEM
  ibrav = 0, nat = 4, ntyp = 3
/
ATOMIC_SPECIES
Ca 40.08 Ca.upf
Cd 112.41 Cd.upf
Ni 58.69 Ni.upf
CELL_PARAMETERS angstrom
0.0000 3.5696 3.5696
3.5696 0.0000 3.5696
3.5696 3.5696 0.0000
ATOMIC_POSITIONS crystal
Ca 0.0000 0.0000 0.0000
Ca 0.2500 0.2500 0.2500
Cd 0.5000 0.5000 0.5000
Ni 0.7500 0.7500 0.7500
! DFT total energy	-10.5	eV per cell
! space group	F-43m, No. 216
! DOS at the Fermi energy	1.11	states/eV/atom


Entry 7:
! CaCdNi2 | the Alexandria database | PBE | optimized geometry; values from VASP
&SYSTEM
  ibrav = 0, nat = 4, ntyp = 3
/
ATOMIC_SPECIES
Ca 40.08 Ca.upf
Cd 112.41 Cd.upf
Ni 58.69 Ni.upf
CELL_PARAMETERS angstrom
3.1953 0.0000 0.0000
0.0000 3.1953 0.0000
0.0000 0.0000 7.1244
ATOMIC_POSITIONS crystal
Ca 0.0000 0.0000 0.0000
Cd 0.5000 0.5000 0.3506
Ni 0.0000 0.0000 0.6038
Ni 0.5000 0.5000 0.7232
! DFT total energy	-14.3	eV per cell
! space group	P4mm, No. 99
! DOS at the Fermi energy	1.01	states/eV/atom


Entry 8:
! CaCd2Ni | the Alexandria database | PBE | optimized geometry; values from VASP
&SYSTEM
  ibrav = 0, nat = 8, ntyp = 3
/
ATOMIC_SPECIES
Ca 40.08 Ca.upf
Cd 112.41 Cd.upf
Ni 58.69 Ni.upf
CELL_PARAMETERS angstrom
-2.1004 2.1004 10.4379
2.1004 -2.1004 10.4379
2.1004 2.1004 -10.4379
ATOMIC_POSITIONS crystal
Ca 0.0000 0.0000 0.0000
Ca 0.7500 0.2500 0.5000
Cd 0.1552 0.6250 0.0302
Cd 0.3750 0.4052 0.5302
Cd 0.5948 0.1250 0.9698
Cd 0.8750 0.8448 0.4698
Ni 0.2500 0.7500 0.5000
Ni 0.5000 0.5000 0.0000
! DFT total energy	-18.2	eV per cell
! space group	I-42d, No. 122
! DOS at the Fermi energy	0.53	states/eV/atom


Entry 9:
! CaCd2Ni | the Alexandria database | PBE | optimized geometry; values from VASP
&SYSTEM
  ibrav = 0, nat = 4, ntyp = 3
/
ATOMIC_SPECIES
Ca 40.08 Ca.upf
Cd 112.41 Cd.upf
Ni 58.69 Ni.upf
CELL_PARAMETERS angstrom
-2.1656 2.1656 4.4090
2.1656 -2.1656 4.4090
2.1656 2.1656 -4.4090
ATOMIC_POSITIONS crystal
Ca 0.0000 0.0000 0.0000
Cd 0.2500 0.7500 0.5000
Cd 0.7500 0.2500 0.5000
Ni 0.5000 0.5000 0.0000
! DFT total energy	-9.9	eV per cell
! space group	I4/mmm, No. 139
! DOS at the Fermi energy	0.34	states/eV/atom


Entry 10:
! Ca4Cd2Ni | the Alexandria database | PBE | optimized geometry; values from VASP
&SYSTEM
  ibrav = 0, nat = 7, ntyp = 3
/
ATOMIC_SPECIES
Ca 40.08 Ca.upf
Cd 112.41 Cd.upf
Ni 58.69 Ni.upf
CELL_PARAMETERS angstrom
-2.6278 2.6278 8.2390
2.6278 -2.6278 8.2390
2.6278 2.6278 -8.2390
ATOMIC_POSITIONS crystal
Ca 0.0000 0.5000 0.5000
Ca 0.1733 0.1733 0.0000
Ca 0.5000 0.0000 0.5000
Ca 0.8267 0.8267 0.0000
Cd 0.3710 0.3710 0.0000
Cd 0.6290 0.6290 0.0000
Ni 0.0000 0.0000 0.0000
! DFT total energy	-16.4	eV per cell
! space group	I4/mmm, No. 139
! DOS at the Fermi energy	0.61	states/eV/atom


Entry 11:
! CaCd2Ni | the Alexandria database | PBE | optimized geometry; values from VASP
&SYSTEM
  ibrav = 0, nat = 4, ntyp = 3
/
ATOMIC_SPECIES
Ca 40.08 Ca.upf
Cd 112.41 Cd.upf
Ni 58.69 Ni.upf
CELL_PARAMETERS angstrom
4.0773 0.0000 0.0000
0.0000 3.8868 0.0000
-2.0364 0.0000 5.6971
ATOMIC_POSITIONS crystal
Ca 0.0000 0.0000 0.0000
Cd 0.3245 0.5000 0.6513
Cd 0.7173 0.0000 0.4358
Ni 0.5633 0.5000 0.1253
! DFT total energy	-9.9	eV per cell
! space group	Pm, No. 6
! DOS at the Fermi energy	0.52	states/eV/atom


Entry 12:
! CaCdNi2 | the Alexandria database | PBE | optimized geometry; values from VASP
&SYSTEM
  ibrav = 0, nat = 4, ntyp = 3
/
ATOMIC_SPECIES
Ca 40.08 Ca.upf
Cd 112.41 Cd.upf
Ni 58.69 Ni.upf
CELL_PARAMETERS angstrom
3.9602 0.0000 0.0000
0.0000 3.9196 0.0000
-1.9722 0.0000 4.8410
ATOMIC_POSITIONS crystal
Ca 0.0000 0.0000 0.0000
Cd 0.2949 0.5000 0.5909
Ni 0.5913 0.5000 0.1832
Ni 0.7131 0.0000 0.4278
! DFT total energy	-14.6	eV per cell
! space group	Pm, No. 6
! DOS at the Fermi energy	0.66	states/eV/atom


Repeat the fourth record exactly.
! CaCd2Ni2 | the Alexandria database | PBE | optimized geometry; values from VASP
&SYSTEM
  ibrav = 0, nat = 10, ntyp = 3
/
ATOMIC_SPECIES
Ca 40.08 Ca.upf
Cd 112.41 Cd.upf
Ni 58.69 Ni.upf
CELL_PARAMETERS angstrom
7.3887 0.0000 0.0000
0.0000 7.3887 0.0000
0.0000 0.0000 3.3629
ATOMIC_POSITIONS crystal
Ca 0.0000 0.0000 0.0000
Ca 0.5000 0.5000 0.0000
Cd 0.1645 0.3355 0.5000
Cd 0.3355 0.8355 0.5000
Cd 0.6645 0.1645 0.5000
Cd 0.8355 0.6645 0.5000
Ni 0.1245 0.6245 0.0000
Ni 0.3755 0.1245 0.0000
Ni 0.6245 0.8755 0.0000
Ni 0.8755 0.3755 0.0000
! DFT total energy	-31.2	eV per cell
! E above lowest polymorph	0.040	eV/atom
! space group	P4/mbm, No. 127
! DOS at the Fermi energy	0.64	states/eV/atom